A plane-wave DFT calculation with PBE was carried out for a relaxed TbBr3Cl crystal.

Cell: 12.054 6.885 8.308 Å, 90.00 90.00 90.00°
Space group Ima2 (No. 46)
Symmetry-distinct sites (fractional):
Tb: 0.250 0.220 0.000 x4
Br: 0.013 0.213 0.001 x8
Br: 0.250 0.524 0.227 x4
Cl: 0.250 0.011 0.270 x4

Computed properties:
**Calculated total energy**: -3.74 eV per atom
**M_tot**: 0.070 μB per formula unit